The following is a GGA+U calculation of a geometry-optimized Ge2Mo4F structure, from the Alexandria database.

Lattice parameters (Å, degrees): 4.2294 4.2294 7.8503 74.37 74.37 90.00
With the nearest neighbours (Å) after each atom.
Positions (direct):
Mo 0.8150 0.8150 0.3700  1 F 2.69, 1 Ge 2.74
Mo 0.1850 0.1850 0.6300  1 F 2.69, 1 Ge 2.74
Mo 0.0000 0.5000 0.0000  2 F 2.11
Mo 0.5000 0.0000 0.0000  2 F 2.11
Ge 0.6266 0.6266 0.7468  5 Mo 2.74-2.80
Ge 0.3734 0.3734 0.2532  5 Mo 2.74-2.80
F 0.0000 0.0000 0.0000  4 Mo 2.11

Values from the calculation:
* calculated density: 7.01 g/cm³
* uncorrected energy: -4.962 eV per atom
* space group: I4/mmm, No. 139
* D(E_F): 0.31 states/eV per atom
* crystal system: tetragonal